Compound: PaZnH8Ir2
Source: the Alexandria database
Functional: PBE
Structure: optimized geometry

As for the final energy: -4.6916 eV per atom. For the density of states at the Fermi level, the calculation gives 11.18 states/eV/cell.

It has space group C2/m (No. 12), with a = 7.887 Å, b = 4.286 Å, c = 6.352 Å, α = 90.00°, β = 112.04° and γ = 90.00°. The distinct sites, in fractional coordinates, are Pa at (0.000, 0.000, 0.000), Zn at (0.000, 0.500, 0.500), H at (0.065, 0.500, 0.167), H at (0.182, 0.260, 0.827), H at (0.190, 0.000, 0.368) and Ir at (0.206, 0.000, 0.638).